# 1
# CoF, relaxed, DFT PBE+U
# Magnetization (μB/atom): 1.147
# Electronic total energy (eV per atom): -4.41
data_CoF
_cell_length_a 7.8643
_cell_length_b 7.8643
_cell_length_c 2.9027
_cell_angle_alpha 90.00
_cell_angle_beta 90.00
_cell_angle_gamma 120.00
_space_group_name_H-M_alt 'P 63/m'
_space_group_IT_number 176
_space_group_name_Hall '-P 6c'
loop_
_atom_site_label
_atom_site_type_symbol
_atom_site_fract_x
_atom_site_fract_y
_atom_site_fract_z
_atom_site_occupancy
Co1 Co 0.0479 0.7372 0.2500 1
F1 F 0.1218 0.4684 0.2500 1

# 2
# CoF, relaxed, DFT PBE+U
# Magnetization (μB/atom): 1.252
# Electronic total energy (eV per atom): -4.45
data_CoF
_cell_length_a 8.3648
_cell_length_b 8.3648
_cell_length_c 3.6919
_cell_angle_alpha 90.00
_cell_angle_beta 90.00
_cell_angle_gamma 90.00
_space_group_name_H-M_alt 'I 4/m'
_space_group_IT_number 87
_space_group_name_Hall '-I 4'
loop_
_atom_site_label
_atom_site_type_symbol
_atom_site_fract_x
_atom_site_fract_y
_atom_site_fract_z
_atom_site_occupancy
Co1 Co 0.1234 0.1538 0.0000 1
F1 F 0.1373 0.2581 0.5000 1

# 3
# CoF, relaxed, DFT PBE+U
# Magnetization (μB/atom): 1.162
# Electronic total energy (eV per atom): -4.57
data_CoF
_cell_length_a 8.2656
_cell_length_b 8.2656
_cell_length_c 2.7908
_cell_angle_alpha 90.00
_cell_angle_beta 90.00
_cell_angle_gamma 90.00
_space_group_name_H-M_alt 'I 4/m'
_space_group_IT_number 87
_space_group_name_Hall '-I 4'
loop_
_atom_site_label
_atom_site_type_symbol
_atom_site_fract_x
_atom_site_fract_y
_atom_site_fract_z
_atom_site_occupancy
Co1 Co 0.0758 0.1923 0.0000 1
F1 F 0.1396 0.6679 0.0000 1

# 4
# CoF, relaxed, DFT PBE+U
# Magnetization (μB/atom): 1.245
# Electronic total energy (eV per atom): -4.48
data_CoF
_cell_length_a 4.6681
_cell_length_b 5.0682
_cell_length_c 8.0674
_cell_angle_alpha 90.00
_cell_angle_beta 90.00
_cell_angle_gamma 90.00
_space_group_name_H-M_alt 'P 21 21 21'
_space_group_IT_number 19
_space_group_name_Hall 'P 2ac 2ab'
loop_
_atom_site_label
_atom_site_type_symbol
_atom_site_fract_x
_atom_site_fract_y
_atom_site_fract_z
_atom_site_occupancy
Co1 Co 0.2084 0.0056 0.3066 1
Co2 Co 0.2101 0.4116 0.5025 1
F1 F 0.0885 0.2442 0.0997 1
F2 F 0.1079 0.3820 0.7728 1